Entry from the Alexandria database: a relaxed structure of CsVCu2Mo (GGA-PBE).

Computed properties:
Space-group type   P4/mmm (123)
E   -3.558 eV/atom
Energy relative to the elements   2.241 eV per atom
D(E_F)   7.69 states/eV/cell

Cell: 4.8318 4.8318 5.4499 Å, 90.00 90.00 90.00°
Atoms (fractional coordinates):
Cs 0.0000 0.0000 0.0000
V 0.5000 0.5000 0.0000
Cu 0.0000 0.5000 0.5000
Cu 0.5000 0.0000 0.5000
Mo 0.0000 0.0000 0.5000